# CdFe2Ru

A relaxed structure of CdFe2Ru (GGA-PBE, the Alexandria database).

Cell lengths 2.753, 3.734, 5.665 Å; angles 90.00, 90.00, 90.00 degrees
Space group Pmmm (No. 47)
One atom of each set of equivalent atoms:
Cd 0.000 0.000 0.000 x1
Fe 0.500 0.500 0.290 x2
Ru 0.000 0.000 0.500 x1

Calculated values
Calculated formation energy = 1.134 eV per formula unit


# CdFe2Ru4

A relaxed structure of CdFe2Ru4 (GGA-PBE, the Alexandria database).

Cell lengths 4.777, 4.777, 12.032 Å; angles 90.00, 90.00, 90.00 degrees
Space group I4/mmm (No. 139)
One atom of each set of equivalent atoms:
Cd 0.000 0.000 0.000 x2
Fe 0.000 0.000 0.402 x4
Ru 0.000 0.000 0.219 x4
Ru 0.000 0.500 0.000 x4

Calculated values
Calculated formation energy = 12.977 eV per formula unit


# CdFeRu4

A relaxed structure of CdFeRu4 (GGA-PBE, the Alexandria database).

Cell lengths 7.249, 7.249, 7.249 Å; angles 90.00, 90.00, 90.00 degrees
Space group F-43m (No. 216)
One atom of each set of equivalent atoms:
Cd 0.000 0.000 0.000 x4
Fe 0.250 0.250 0.750 x4
Ru 0.125 0.125 0.375 x16

Calculated values
Calculated formation energy = 3.363 eV per formula unit


# CdFeRu2

A relaxed structure of CdFeRu2 (GGA-PBE, the Alexandria database).

Cell lengths 2.7702, 2.7702, 26.8241 Å; angles 90.00, 90.00, 120.00 degrees
Space group R-3m (No. 166, hexagonal axes)
One atom of each set of equivalent atoms:
Cd 0.0000 0.0000 0.0000 x3
Fe 0.0000 0.0000 0.5000 x3
Ru 0.0000 0.0000 0.2410 x6

Calculated values
Calculated formation energy = 1.099 eV per formula unit